DyScAsO | PBE | relaxed

Results
excess energy over the best structure of this formula in the dataset = 32 meV per atom
volume = 159 Å³ per cell
uncorrected energy = -57.67 eV/cell

Cell lengths 3.957, 5.827, 6.885 Å; angles 90.00, 90.00, 90.00 degrees
Space group Pmc2_1 (No. 26)
Unique sites:
Dy 0.000 0.072 0.000
Sc 0.500 0.360 0.334
As 0.500 0.198 0.709
O 0.000 0.260 0.294



PaBeCo | PBE | relaxed

Results
excess energy over the best structure of this formula in the dataset = 649 meV per atom
volume = 197 Å³ per cell
uncorrected energy = -77.15 eV/cell

Cell lengths 5.821, 5.821, 5.821 Å; angles 90.00, 90.00, 90.00 degrees
Space group F-43m (No. 216)
Unique sites:
Pa 0.000 0.000 0.000
Be 0.250 0.250 0.250
Co 0.000 0.000 0.500



Zr2H3 | PBE | relaxed

Results
excess energy over the best structure of this formula in the dataset = 8 meV per atom
volume = 108 Å³ per cell
uncorrected energy = -59.36 eV/cell

Cell lengths 4.756, 4.756, 4.756 Å; angles 90.00, 90.00, 90.00 degrees
Space group Pn-3m (No. 224, origin choice 2)
Unique sites:
Zr 0.000 0.000 0.000
H 0.250 0.250 0.750



YZnCoW | PBE | relaxed

Results
formation energy from the elements = 565 meV/atom
excess energy over the best structure of this formula in the dataset = 0 meV per atom
volume = 269 Å³ per cell
uncorrected energy = -102.14 eV/cell

Cell lengths 6.456, 6.456, 6.456 Å; angles 90.00, 90.00, 90.00 degrees
Space group F-43m (No. 216)
Unique sites:
Y 0.000 0.000 0.000
Zn 0.250 0.250 0.250
Co 0.000 0.000 0.500
W 0.250 0.250 0.750



BePdSO | PBE | relaxed

Results
excess energy over the best structure of this formula in the dataset = 0 meV per atom
volume = 428 Å³ per cell
uncorrected energy = -180.05 eV/cell

Cell lengths 4.798, 16.604, 5.377 Å; angles 90.00, 90.00, 90.00 degrees
Space group Pbca (No. 61)
Unique sites:
Be 0.108 0.250 0.125
Pd 0.129 0.575 0.141
S 0.128 0.065 0.744
O 0.222 0.747 0.375



PmNiSn | PBE | relaxed

Results
volume = 259 Å³ per cell
uncorrected energy = -65.06 eV/cell

Cell lengths 7.408, 4.558, 7.681 Å; angles 90.00, 90.00, 90.00 degrees
Space group Pnma (No. 62)
Unique sites:
Pm 0.018 0.250 0.198
Ni 0.194 0.750 0.416
Sn 0.185 0.250 0.589



Zr4Sc2Cd3N3 | PBE | relaxed

Results
volume = 840 Å³ per cell
uncorrected energy = -345.85 eV/cell

Cell lengths 9.839, 5.685, 15.366 Å; angles 90.00, 102.34, 90.00 degrees
Space group C2/c (No. 15)
Unique sites:
Zr 0.110 0.083 0.081
Zr 0.223 0.084 0.419
Sc 0.056 0.417 0.919
Cd 0.000 0.082 0.750
Cd 0.168 0.416 0.250
N 0.082 0.254 0.500
N 0.250 0.250 0.000



CuSiB2 | PBE | relaxed

Results
volume = 164 Å³ per cell
uncorrected energy = -68.76 eV/cell

Cell lengths 5.469, 5.469, 5.469 Å; angles 90.00, 90.00, 90.00 degrees
Space group F-43m (No. 216)
Unique sites:
Cu 0.000 0.000 0.000
Si 0.250 0.250 0.250
B 0.000 0.000 0.500
B 0.250 0.250 0.750



LuSnAu2 | PBE | relaxed

Results
volume = 338 Å³ per cell
uncorrected energy = -67.63 eV/cell

Cell lengths 6.966, 6.966, 6.966 Å; angles 90.00, 90.00, 90.00 degrees
Space group F-43m (No. 216)
Unique sites:
Lu 0.000 0.000 0.000
Sn 0.250 0.250 0.750
Au 0.000 0.000 0.500
Au 0.250 0.250 0.250



PrAsNO | PBE | relaxed

Results
excess energy over the best structure of this formula in the dataset = 70 meV per atom
volume = 138 Å³ per cell
uncorrected energy = -55.42 eV/cell

Cell lengths 5.122, 4.490, 5.990 Å; angles 90.00, 90.00, 90.00 degrees
Space group Pmc2_1 (No. 26)
Unique sites:
Pr 0.000 0.248 0.000
As 0.500 0.209 0.338
N 0.500 0.119 0.030
O 0.000 0.268 0.631



Er2Zr2O5 | PBE | relaxed

Results
excess energy over the best structure of this formula in the dataset = 0 meV per atom
volume = 127 Å³ per cell
uncorrected energy = -75.40 eV/cell

Cell lengths 3.622, 3.622, 9.684 Å; angles 90.00, 90.00, 90.00 degrees
Space group P4/mmm (No. 123)
Unique sites:
Er 0.000 0.000 0.250
Zr 0.500 0.500 0.000
Zr 0.500 0.500 0.500
O 0.000 0.000 0.000
O 0.000 0.500 0.370



SrMgTaIr | PBE | relaxed

Results
excess energy over the best structure of this formula in the dataset = 132 meV per atom
volume = 332 Å³ per cell
uncorrected energy = -89.15 eV/cell

Cell lengths 6.927, 6.927, 6.927 Å; angles 90.00, 90.00, 90.00 degrees
Space group F-43m (No. 216)
Unique sites:
Sr 0.000 0.000 0.000
Mg 0.250 0.250 0.250
Ta 0.000 0.000 0.500
Ir 0.250 0.250 0.750



Question: The highest volume belongs to which entry?
Answer: Zr4Sc2Cd3N3



Copy entry 2 word for word.
PaBeCo | PBE | relaxed

Results
excess energy over the best structure of this formula in the dataset = 649 meV per atom
volume = 197 Å³ per cell
uncorrected energy = -77.15 eV/cell

Cell lengths 5.821, 5.821, 5.821 Å; angles 90.00, 90.00, 90.00 degrees
Space group F-43m (No. 216)
Unique sites:
Pa 0.000 0.000 0.000
Be 0.250 0.250 0.250
Co 0.000 0.000 0.500



Question: Which of these has the highest volume?
Answer: Zr4Sc2Cd3N3